1.
Here is a relaxed TeSe2Br crystal from the Alexandria database. Energies are from PBEsol.

Properties
As for the raw total energy: -2.955 eV/atom.

Unit cell a=3.937 b=3.937 c=6.635 alpha=90.00 beta=90.00 gamma=90.00
Space group P4/mmm (No. 123)
Unique sites:
Te1 0.000 0.000 0.000 x1
Se1 0.000 0.500 0.500 x2
Br1 0.500 0.500 0.000 x1

---

2.
Here is a relaxed TeSe2Br crystal from the Alexandria database. Energies are from PBEsol.

Properties
As for the raw total energy: -3.327 eV/atom.

Unit cell a=5.155 b=3.956 c=5.921 alpha=90.00 beta=106.47 gamma=90.00
Space group P2/m (No. 10)
Unique sites:
Te1 0.000 0.000 0.000 x1
Se1 0.404 0.500 0.160 x2
Br1 0.000 0.000 0.500 x1

---

3.
Here is a relaxed TeSe2Br crystal from the Alexandria database. Energies are from PBEsol.

Properties
As for the raw total energy: -3.233 eV/atom.

Unit cell a=4.0664 b=4.0664 c=21.5873 alpha=90.00 beta=90.00 gamma=120.00
Space group R-3m (No. 166, hexagonal axes)
Unique sites:
Te1 0.0000 0.0000 0.0000 x3
Se1 0.0000 0.0000 0.2586 x6
Br1 0.0000 0.0000 0.5000 x3

---

4.
Here is a relaxed TiTeSe2Br crystal from the Alexandria database. Energies are from PBEsol.

Properties
As for the raw total energy: -3.714 eV/atom.

Unit cell a=5.322 b=5.322 c=5.324 alpha=90.00 beta=90.00 gamma=90.00
Space group P4/mmm (No. 123)
Unique sites:
Ti1 0.000 0.000 0.000 x1
Te1 0.500 0.500 0.500 x1
Se1 0.000 0.500 0.500 x2
Br1 0.500 0.500 0.000 x1

---

5.
Here is a relaxed TeWSeBr2 crystal from the Alexandria database. Energies are from PBEsol.

Properties
As for the raw total energy: -4.571 eV/atom.

Unit cell a=4.962 b=4.962 c=4.912 alpha=90.00 beta=90.00 gamma=90.00
Space group P4/mmm (No. 123)
Unique sites:
Te1 0.000 0.000 0.000 x1
W1 0.500 0.500 0.500 x1
Se1 0.500 0.500 0.000 x1
Br1 0.000 0.500 0.500 x2

---

6.
Here is a relaxed TlSeBr2 crystal from the Alexandria database. Energies are from PBEsol.

Properties
As for the raw total energy: -2.648 eV/atom.

Unit cell a=3.242 b=5.652 c=6.838 alpha=90.00 beta=90.00 gamma=90.00
Space group Pmm2 (No. 25)
Unique sites:
Tl1 0.000 0.000 0.000 x1
Se1 0.500 0.500 0.922 x1
Br1 0.000 0.000 0.565 x1
Br2 0.500 0.500 0.259 x1

---

no.,M_tot (μB/atom)
1,0.000
2,0.000
3,0.000
4,0.429
5,0.000
6,0.000